An optimized crystal structure of Be2FeTcIr, computed with GGA-PBE.

Structure (POSCAR):
```
Be2FeTcIr
1.0
4.140 0.000 0.000
0.000 4.140 0.000
0.000 0.000 4.686
Be Fe Tc Ir
2 1 1 1
direct
0.000 0.500 0.000 Be
0.500 0.000 0.000 Be
0.000 0.000 0.500 Fe
0.500 0.500 0.000 Tc
0.500 0.500 0.500 Ir
```

Results
Space-group type ... No. 123
Energy of formation ... 6.06 eV/f.u.


An optimized crystal structure of Y5HoEr8, computed with GGA-PBE.

Structure (POSCAR):
```
Y5HoEr8
1.0
-4.762 4.762 5.002
4.762 -4.762 5.002
4.762 4.762 -5.002
Y Ho Er
5 1 8
direct
0.000 0.000 0.000 Y
0.310 0.634 0.098 Y
0.366 0.465 0.676 Y
0.535 0.211 0.902 Y
0.789 0.690 0.324 Y
0.750 0.250 0.500 Ho
0.024 0.419 0.256 Er
0.075 0.158 0.736 Er
0.164 0.768 0.744 Er
0.232 0.976 0.396 Er
0.421 0.339 0.264 Er
0.581 0.836 0.604 Er
0.661 0.925 0.082 Er
0.842 0.579 0.918 Er
```

Results
Space-group type ... No. 82
Energy of formation ... 3.69 eV/f.u.


An optimized crystal structure of Na2Al2Ge, computed with GGA-PBE.

Structure (POSCAR):
```
Na2Al2Ge
1.0
6.710 0.000 0.000
0.000 6.710 0.000
0.000 0.000 5.188
Na Al Ge
4 4 2
direct
0.174 0.326 0.000 Na
0.326 0.826 0.000 Na
0.674 0.174 0.000 Na
0.826 0.674 0.000 Na
0.137 0.637 0.500 Al
0.363 0.137 0.500 Al
0.637 0.863 0.500 Al
0.863 0.363 0.500 Al
0.000 0.000 0.500 Ge
0.500 0.500 0.500 Ge
```

Results
Space-group type ... No. 127
Energy of formation ... 0.39 eV/f.u.


An optimized crystal structure of Dy3YRu3, computed with GGA-PBE.

Structure (POSCAR):
```
Dy3YRu3
1.0
4.776 2.758 1.940
-4.776 2.758 1.940
0.000 -5.515 1.940
Dy Y Ru
3 1 3
direct
0.057 0.471 0.471 Dy
0.471 0.057 0.471 Dy
0.471 0.471 0.057 Dy
0.885 0.885 0.885 Y
0.471 0.972 0.972 Ru
0.972 0.471 0.972 Ru
0.972 0.972 0.471 Ru
```

Results
Space-group type ... No. 160
Energy of formation ... -2.48 eV/f.u.


An optimized crystal structure of Pu2NpTl3S6, computed with GGA-PBE.

Structure (POSCAR):
```
Pu2NpTl3S6
1.0
3.530 -6.113 0.000
3.530 6.113 0.000
-2.353 0.000 7.462
Pu Np Tl S
2 1 3 6
direct
0.167 0.833 0.000 Pu
0.833 0.167 0.000 Pu
0.500 0.500 0.000 Np
0.000 0.000 0.500 Tl
0.333 0.667 0.500 Tl
0.667 0.333 0.500 Tl
0.107 0.436 0.807 S
0.236 0.236 0.194 S
0.436 0.107 0.807 S
0.564 0.893 0.193 S
0.764 0.764 0.806 S
0.893 0.564 0.193 S
```

Results
Space-group type ... No. 12
Uncorrected formation energy ... -1.17 eV per atom


An optimized crystal structure of BaInIF2, computed with GGA-PBE.

Structure (POSCAR):
```
BaInIF2
1.0
8.041 0.000 0.000
0.000 4.342 0.000
-2.576 0.000 8.443
Ba In I F
2 2 2 4
direct
0.131 0.250 0.211 Ba
0.869 0.750 0.789 Ba
0.413 0.250 0.858 In
0.587 0.750 0.142 In
0.241 0.750 0.591 I
0.759 0.250 0.409 I
0.058 0.250 0.902 F
0.327 0.750 0.206 F
0.673 0.250 0.794 F
0.942 0.750 0.098 F
```

Results
Space-group type ... No. 11
Distance to the lowest polymorph of the same formula ... 0.000 eV/atom
Uncorrected formation energy ... -2.39 eV per atom